SmY2Sc3: optimized geometry, PBE.

Values from the calculation:
Total magnetic moment ... 0.00 Bohr magnetons per cell
Distance to the lowest polymorph of the same formula ... 0.000 eV per atom
Formation energy ... 0.0748 eV/atom
SG ... P2_1/m (11)
V ... 171.5 Å³/f.u.

abc: 3.461 5.993 16.654
angles: 96.90 90.00 90.00
Sites, in units of the cell vectors:
Sc 0.750 0.750 0.000
Sc 0.250 0.139 0.667
Y 0.250 0.973 0.167
Sc 0.750 0.638 0.666
Y 0.750 0.250 0.500
Sc 0.750 0.861 0.333
Sm 0.250 0.527 0.833
Sm 0.750 0.473 0.167
Sc 0.250 0.362 0.334
Sc 0.250 0.250 0.000
Y 0.750 0.027 0.833
Y 0.250 0.750 0.500